Computed, not measured: Sc2CrOs after structural relaxation at the PBE level of DFT.

a = 4.5553 Å, b = 4.5553 Å, c = 3.3252 Å
α = 90.00°, β = 90.00°, γ = 90.03°
Site moments in Bohr magnetons follow the coordinates.
Fractional positions:
Cr 0.5000 0.0000 0.5000  2.87
Os 0.0000 0.5000 0.5000  0.04
Sc 0.0000 0.0000 0.0000  0.03
Sc 0.5000 0.5000 0.0000  0.03

N(E_F)	3.2	states/eV per cell
space group	P4/mmm (123)
ΔH_f (0 K)	-90	meV/atom
energy relative to the lowest polymorph listed for this composition	54	meV/atom


Computed, not measured: Pm2MgAl3Ag4 after structural relaxation at the PBE level of DFT.

a = 4.4091 Å, b = 4.4091 Å, c = 11.0117 Å
α = 90.00°, β = 90.00°, γ = 90.00°
Fractional positions:
Pm 0.5000 0.0000 0.2386
Pm 0.0000 0.5000 0.7614
Mg 0.5000 0.5000 0.5000
Al 0.0000 0.0000 0.5000
Al 0.5000 0.0000 0.8699
Al 0.0000 0.5000 0.1301
Ag 0.5000 0.5000 0.0000
Ag 0.0000 0.0000 0.0000
Ag 0.5000 0.0000 0.6403
Ag 0.0000 0.5000 0.3597

N(E_F)	7.6	states/eV per cell
space group	P-4m2 (115)
ΔH_f (0 K)	-303	meV/atom


Computed, not measured: LaZr2Ge2 after structural relaxation at the PBE level of DFT.

a = 8.3654 Å, b = 8.3654 Å, c = 3.1208 Å
α = 90.00°, β = 90.00°, γ = 90.00°
Site moments in Bohr magnetons follow the coordinates.
Fractional positions:
Ge 0.1706 0.6706 0.5000  0.00
Ge 0.6706 0.8294 0.5000  0.00
Ge 0.8294 0.3294 0.5000  0.00
Ge 0.3294 0.1706 0.5000  0.00
Zr 0.3752 0.8752 0.0000  -0.01
Zr 0.8752 0.6248 0.0000  -0.01
Zr 0.6248 0.1248 0.0000  -0.01
Zr 0.1248 0.3752 0.0000  -0.01
La 0.0000 0.0000 0.0000  0.06
La 0.5000 0.5000 0.0000  0.06

N(E_F)	6.2	states/eV per cell
space group	P4/mbm (127)
ΔH_f (0 K)	-462	meV/atom
energy relative to the lowest polymorph listed for this composition	249	meV/atom


What did the third record say?
Computed, not measured: LaZr2Ge2 after structural relaxation at the PBE level of DFT.

a = 8.3654 Å, b = 8.3654 Å, c = 3.1208 Å
α = 90.00°, β = 90.00°, γ = 90.00°
Site moments in Bohr magnetons follow the coordinates.
Fractional positions:
Ge 0.1706 0.6706 0.5000  0.00
Ge 0.6706 0.8294 0.5000  0.00
Ge 0.8294 0.3294 0.5000  0.00
Ge 0.3294 0.1706 0.5000  0.00
Zr 0.3752 0.8752 0.0000  -0.01
Zr 0.8752 0.6248 0.0000  -0.01
Zr 0.6248 0.1248 0.0000  -0.01
Zr 0.1248 0.3752 0.0000  -0.01
La 0.0000 0.0000 0.0000  0.06
La 0.5000 0.5000 0.0000  0.06

N(E_F)	6.2	states/eV per cell
space group	P4/mbm (127)
ΔH_f (0 K)	-462	meV/atom
energy relative to the lowest polymorph listed for this composition	249	meV/atom


Question: The highest ΔH_f (0 K) belongs to which entry?
Answer: Sc2CrOs


Question: Among the records above, which one has the lowest N(E_F)?
Answer: Sc2CrOs